[1]
Below is crystalline Th2NiB3Pt12 at its relaxed geometry, with properties calculated at the PBE-GGA level.

- Fermi-level density of states (states/eV per atom) = 0.52
- ΔH_f (0 K) (eV per atom) = -0.475
- SG = R-3m (166)

a b c (Å): 7.424 7.424 7.424
angles (deg): 64.16 64.16 64.16
Positions (direct):
Pt1 0.670 0.670 0.090
Pt2 0.670 0.090 0.670
Pt3 0.120 0.623 0.120
Pt4 0.377 0.880 0.880
Pt5 0.330 0.330 0.910
Pt6 0.090 0.670 0.670
Pt7 0.120 0.120 0.623
Pt8 0.910 0.330 0.330
Pt9 0.623 0.120 0.120
Pt10 0.880 0.377 0.880
Pt11 0.880 0.880 0.377
Pt12 0.330 0.910 0.330
Th1 0.388 0.388 0.388
Th2 0.612 0.612 0.612
B1 0.000 0.000 0.500
B2 0.000 0.500 0.000
B3 0.500 0.000 0.000
Ni1 0.000 0.000 0.000



[2]
Below is crystalline LiAcEuPt at its relaxed geometry, with properties calculated at the PBE-GGA level.

- Fermi-level density of states (states/eV per atom) = 1.05
- ΔH_f (0 K) (eV per atom) = -0.493
- SG = F-43m (216)

a b c (Å): 5.309 5.309 5.309
angles (deg): 60.00 60.00 60.00
Site moments in Bohr magnetons follow the coordinates.
Positions (direct):
Pt1 0.750 0.750 0.750  -0.03
Li1 0.250 0.250 0.250  0.01
Eu1 0.000 0.000 0.000  6.82
Ac1 0.500 0.500 0.500  0.02



[3]
Below is crystalline SiPIrO2 at its relaxed geometry, with properties calculated at the PBE-GGA level.

- Fermi-level density of states (states/eV per atom) = 0.97
- SG = P4/mmm (123)
- energy above the most stable polymorph in this dataset (meV per atom) = 823.5

a b c (Å): 3.781 3.781 5.130
angles (deg): 90.00 90.00 90.00
Positions (direct):
O1 0.500 0.000 0.000
O2 0.000 0.500 0.000
P1 0.000 0.000 0.500
Si1 0.500 0.500 0.500
Ir1 0.000 0.000 0.000